# K6CoO4, relaxed, DFT GGA+U
data_K6CoO4
_space_group_name_H-M_alt 'P 63 m c'
_space_group_IT_number 186
_space_group_name_Hall 'P 6c -2c'
_cell_length_a 8.5916
_cell_length_b 8.5916
_cell_length_c 6.6471
_cell_angle_alpha 90.00
_cell_angle_beta 90.00
_cell_angle_gamma 120.00
loop_
_atom_site_label
_atom_site_type_symbol
_atom_site_fract_x
_atom_site_fract_y
_atom_site_fract_z
K1 K 0.0725 0.5362 0.0000
K2 K 0.1455 0.2910 0.3331
Co1 Co 0.3333 0.6667 0.6106
O1 O 0.2012 0.4023 0.7117
O2 O 0.3333 0.6667 0.3046
# M_tot	3.00	μB/f.u.
# total energy	-3.9517	eV/atom